## Sc2CuRh (PBE-GGA)

Data for a relaxed Sc2CuRh crystal.

Lattice parameters (Å, degrees): 5.7874 5.7874 5.7874 150.17 129.79 59.51
With the nearest neighbours (Å) after each atom.
Fractional positions:
Sc1 0.2432 0.2432 0.0000  1 Rh 2.44, 1 Cu 2.58
Sc2 0.7568 0.7568 0.0000  1 Rh 2.44, 1 Cu 2.58
Cu1 0.5000 0.5000 0.0000  2 Sc 2.58, 4 Rh 2.87
Rh1 0.0000 0.0000 0.0000  2 Sc 2.44

Results
formation enthalpy at 0 K: 24.22 kJ per mole of atoms
symmetry: Immm, No. 71